! Ca2Pm2Pd3, relaxed, DFT GGA-PBE; values from VASP
! Distance to the lowest polymorph of the same formula, meV/atom: 33
! D(E_F), states/eV/f.u.: 3.8
! Formation enthalpy at 0 K, kJ/mol of formula units: -417
&SYSTEM
  ibrav = 0, nat = 7, ntyp = 3
/
ATOMIC_SPECIES
Ca 40.08 Ca.upf
Pm 145.00 Pm.upf
Pd 106.42 Pd.upf
ATOMIC_POSITIONS crystal
Ca 0.123 0.075 0.221
Ca 0.877 0.925 0.779
Pm 0.354 0.410 0.719
Pm 0.646 0.590 0.281
Pd 0.000 0.500 0.000
Pd 0.261 0.836 0.528
Pd 0.739 0.164 0.472
CELL_PARAMETERS angstrom
4.539 0.000 0.000
-0.003 5.580 0.000
-2.125 -1.972 7.248

***

! LaGe3Ir2, relaxed, DFT GGA-PBE; values from VASP
! Distance to the lowest polymorph of the same formula, meV/atom: 0
! D(E_F), states/eV/f.u.: 2.3
! Formation enthalpy at 0 K, kJ/mol of formula units: -343
&SYSTEM
  ibrav = 0, nat = 18, ntyp = 3
/
ATOMIC_SPECIES
La 138.91 La.upf
Ge 72.64 Ge.upf
Ir 192.22 Ir.upf
ATOMIC_POSITIONS crystal
La 0.000 0.000 0.000
La 0.152 0.152 0.694
La 0.848 0.848 0.306
Ge 0.047 0.047 0.362
Ge 0.225 0.225 0.377
Ge 0.355 0.355 0.077
Ge 0.359 0.359 0.822
Ge 0.500 0.500 0.500
Ge 0.641 0.641 0.178
Ge 0.645 0.645 0.923
Ge 0.775 0.775 0.623
Ge 0.953 0.953 0.638
Ir 0.208 0.208 0.087
Ir 0.354 0.354 0.567
Ir 0.494 0.494 0.232
Ir 0.506 0.506 0.768
Ir 0.646 0.646 0.433
Ir 0.792 0.792 0.913
CELL_PARAMETERS angstrom
8.301 -2.099 0.000
8.301 2.099 0.000
-2.272 0.000 9.710

***

! LiAl3, relaxed, DFT GGA-PBE; values from VASP
! D(E_F), states/eV/f.u.: 1.1
! Formation enthalpy at 0 K, kJ/mol of formula units: -21
&SYSTEM
  ibrav = 0, nat = 4, ntyp = 2
/
ATOMIC_SPECIES
Li 6.94 Li.upf
Al 26.98 Al.upf
ATOMIC_POSITIONS crystal
Li 0.000 0.000 0.000
Al 0.000 0.500 0.685
Al 0.500 0.000 0.495
Al 0.500 0.500 0.175
CELL_PARAMETERS angstrom
2.816 0.000 0.000
0.000 4.541 0.000
0.000 0.000 5.149